4
Lattice="0.000 3.949 3.949 3.949 0.000 3.949 3.949 3.949 0.000" Properties=species:S:1:pos:R:3 comment="TlTcI2 (PBE-GGA, relaxed)" mass_density_g_cm3=7.50 e_form_raw_ev_per_atom=0.653 dft_energy_ev_per_atom=-3.305 pbc="T T T"
Tc 0.000 0.000 0.000
I 1.975 1.975 1.975
I 5.924 5.924 5.924
Tl 3.949 3.949 3.949